This record from the Alexandria database describes a relaxed La2NdSmY2 crystal. The functional is PBE.

```
12
Lattice="-0.8774 -1.6120 -2.9033 -1.7926 -5.4874 3.5886 -16.6930 6.4210 1.4798" Properties=species:S:1:pos:R:3 pbc="T T T"
La -6.6441 0.1145 -0.0873
La -3.8885 -3.0592 2.8738
La -12.7189 -0.7929 2.2524
La -14.5971 3.9928 2.1946
Nd 0.0000 0.0000 0.0000
Nd -9.6815 -0.3392 1.0825
Sm -1.3350 -3.5497 0.3427
Sm -8.3465 3.2105 0.7399
Y -7.2169 -2.8019 1.7051
Y -12.1461 2.1234 0.4600
Y -15.1419 1.1621 3.9309
Y -3.3437 -0.2285 1.1374
```

As for the symmetry: No. 58. For the density of states at the Fermi level, the calculation gives 10.91 states/eV/f.u. The formation energy comes out at 0.244 eV per atom.

---

This record from the Alexandria database describes a relaxed La2NdSmY6 crystal. The functional is PBE.

```
20
Lattice="9.5438 -2.3420 -2.4305 0.6066 8.5381 -1.9331 0.6066 -2.2482 8.4605" Properties=species:S:1:pos:R:3 pbc="T T T"
La 5.2784 4.2388 3.4324
La 0.7066 1.8459 0.9491
La 5.4785 -0.2909 0.6646
La 10.0503 2.1019 3.1478
Nd 2.9925 1.4996 3.6774
Nd 7.7644 2.4483 0.4196
Sm 2.9925 7.8209 -2.4138
Sm 7.7644 -3.8730 6.5108
Y 1.0527 -0.7879 5.8479
Y 4.9324 -0.7542 5.8829
Y 9.7043 4.7358 -1.7509
Y 5.8245 4.7021 -1.7859
Y 3.8463 6.6512 0.8927
Y 2.1387 4.4733 -1.3675
Y 6.9106 -2.7034 3.2043
Y 8.6182 -0.5254 5.4645
Y 1.8457 4.5708 2.5164
Y 4.1394 2.7736 0.6513
Y 8.9112 -0.6229 1.5806
Y 6.6176 1.1743 3.4457
```

As for the symmetry: No. 15. For the density of states at the Fermi level, the calculation gives 16.11 states/eV/f.u. The formation energy comes out at 0.116 eV per atom.

---

This record from the Alexandria database describes a relaxed LaNd2Sm2Y crystal. The functional is PBE.

```
12
Lattice="-1.5535 4.8159 2.8031 -2.8748 -3.9528 5.1980 8.7515 0.0041 4.8432" Properties=species:S:1:pos:R:3 pbc="T T T"
La 4.2596 1.3918 5.9388
La 0.0189 -0.5859 6.9863
Nd 7.9507 2.3821 6.2831
Nd 0.7694 -1.0170 2.1737
Nd -2.2338 0.4016 4.0412
Nd 5.0644 -2.9907 7.9451
Sm 6.5708 -1.0151 5.3858
Sm 1.3585 1.3916 4.3312
Sm -0.7383 -2.9943 4.7353
Sm 2.9217 -0.5833 8.5907
Y 4.3554 -0.0280 2.4619
Y 2.9150 -2.0044 5.0593
```

As for the symmetry: No. 51. For the density of states at the Fermi level, the calculation gives 9.29 states/eV/f.u. The formation energy comes out at 0.054 eV per atom.

---

This record from the Alexandria database describes a relaxed LaNd6Sm2Y crystal. The functional is PBE.

```
20
Lattice="9.4049 -2.1617 -2.2433 0.7890 8.7636 -2.1133 0.7890 -2.4367 8.6792" Properties=species:S:1:pos:R:3 pbc="T T T"
La 3.1402 1.5622 3.7444
La 7.8427 2.6031 0.5782
Nd 1.2041 -0.9296 6.1907
Nd 5.0763 -0.9748 6.1438
Nd 9.7788 5.0949 -1.8681
Nd 5.9066 5.1401 -1.8212
Nd 4.0858 6.8237 0.9446
Nd 2.1946 4.5551 -1.4098
Nd 6.8971 -2.6585 3.3780
Nd 8.7883 -0.3898 5.7324
Nd 2.0880 4.7252 2.5593
Nd 4.1925 2.8636 0.6274
Nd 8.8949 -0.5599 1.7633
Nd 6.7905 1.3016 3.6951
Sm 5.4942 4.3799 3.4018
Sm 0.7862 2.0090 0.9413
Sm 5.4887 -0.2147 0.9208
Sm 10.1967 2.1563 3.3813
Y 3.1402 7.9431 -2.4043
Y 7.8427 -3.7779 6.7269
```

As for the symmetry: No. 15. For the density of states at the Fermi level, the calculation gives 15.39 states/eV/f.u. The formation energy comes out at 0.112 eV per atom.

---

This record from the Alexandria database describes a relaxed LaNd2Sm6Y3 crystal. The functional is PBE.

```
12
Lattice="-3.2922 -0.9652 -5.2852 4.6299 -3.9642 1.5979 -8.2043 -4.9805 7.2727" Properties=species:S:1:pos:R:3 pbc="T T T"
La 0.0000 0.0000 0.0000
Nd 1.9876 -2.9639 -0.6978
Nd -0.6499 -1.9655 -2.9895
Sm -6.4433 -6.9063 1.5184
Sm -1.0803 -4.9665 -0.9205
Sm -0.4234 -3.0035 2.0671
Sm -3.7991 -7.9073 3.8158
Sm -5.7864 -4.9434 4.5060
Sm -3.0676 -2.0025 -0.2303
Y -0.7948 -5.9537 4.0852
Y -6.0718 -3.9561 -0.4997
Y -3.4333 -4.9549 1.7927
```

As for the symmetry: No. 12. For the density of states at the Fermi level, the calculation gives 17.84 states/eV/f.u. The formation energy comes out at 0.017 eV per atom.

---

This record from the Alexandria database describes a relaxed La2NdSm3Y6 crystal. The functional is PBE.

```
12
Lattice="-5.1206 3.5410 -0.9281 0.4159 -5.6899 -2.6593 -3.4560 -4.0685 10.6411" Properties=species:S:1:pos:R:3 pbc="T T T"
La -1.4305 -2.6114 -2.0820
La -3.2742 0.4625 -1.5054
Nd 0.0000 0.0000 0.0000
Sm -2.2346 -6.1860 2.9497
Sm -5.9260 -0.0314 4.1040
Sm -4.0803 -3.1087 3.5269
Y -7.0291 -3.1148 5.5541
Y -4.4101 -2.6435 -0.0080
Y -1.1316 -3.1026 1.4996
Y -5.1865 -6.1870 4.9779
Y -3.7506 -3.5739 7.0618
Y -2.9742 -0.0305 2.0758
```

As for the symmetry: No. 12. For the density of states at the Fermi level, the calculation gives 14.93 states/eV/f.u. The formation energy comes out at 0.012 eV per atom.